The following is a DFT calculation (SCAN) of CuI at its PBEsol-relaxed geometry.

Summary:
**M_tot**: 0.0 μB/f.u.
**Raw formation energy**: -0.131 eV per atom

abc: 4.0563 4.0563 14.3065
angles: 90.00 90.00 120.00
Fractional coordinates of all 8 atoms:
I  0.0000  0.0000  0.5073
I  0.6667  0.3333  0.2427
Cu  0.0000  0.0000  0.3281
I  0.3333  0.6667  0.7427
I  0.0000  0.0000  0.0073
Cu  0.6667  0.3333  0.4220
Cu  0.0000  0.0000  0.8281
Cu  0.3333  0.6667  0.9220